# Tb4Zr3N8 PBE-GGA optimized geometry
data_Tb4Zr3N8
_cell_length_a 9.4862
_cell_length_b 9.5375
_cell_length_c 6.6960
_cell_angle_alpha 90.00
_cell_angle_beta 134.42
_cell_angle_gamma 90.00
_symmetry_space_group_name_H-M 'C 1 2/m 1'
_symmetry_Int_Tables_number 12
_symmetry_space_group_name_Hall '-C 2y'
loop_
_atom_site_label
_atom_site_fract_x
_atom_site_fract_y
_atom_site_fract_z
Tb1 0.0000 0.0000 0.0000
Tb2 0.0000 0.5000 0.5000
Tb3 0.2500 0.2500 0.0000
Zr1 0.0000 0.5000 0.0000
Zr2 0.2500 0.2500 0.5000
N1 0.0000 0.2551 0.0000
N2 0.0000 0.2561 0.5000
N3 0.2275 0.5000 0.9803
N4 0.2394 0.5000 0.4859
# **Raw total energy**: -0.32165 hartree per atom
# **Formation energy without anion corrections**: -1.37 eV per atom
# **N(E_F)**: 4.802 states/eV/f.u.
# **Crystal system**: monoclinic